No. 1
Ce2Ni7 | SCAN | PBEsol geometry

a = 4.827 Å, b = 4.827 Å, c = 24.072 Å
α = 90.00°, β = 90.00°, γ = 120.00°
Element x y z (fractional)
1 Ce 0.333 0.667 0.030
2 Ce 0.333 0.667 0.175
3 Ce 0.333 0.667 0.325
4 Ce 0.333 0.667 0.470
5 Ce 0.667 0.333 0.530
6 Ce 0.667 0.333 0.675
7 Ce 0.667 0.333 0.825
8 Ce 0.667 0.333 0.970
9 Ni 0.000 0.000 0.000
10 Ni 0.000 0.000 0.167
11 Ni 0.000 0.000 0.333
12 Ni 0.000 0.000 0.500
13 Ni 0.000 0.000 0.667
14 Ni 0.000 0.000 0.833
15 Ni 0.166 0.333 0.750
16 Ni 0.166 0.834 0.750
17 Ni 0.167 0.334 0.585
18 Ni 0.167 0.334 0.915
19 Ni 0.167 0.833 0.585
20 Ni 0.167 0.833 0.915
21 Ni 0.333 0.166 0.250
22 Ni 0.333 0.667 0.667
23 Ni 0.333 0.667 0.833
24 Ni 0.334 0.167 0.085
25 Ni 0.334 0.167 0.415
26 Ni 0.666 0.833 0.585
27 Ni 0.666 0.833 0.915
28 Ni 0.667 0.333 0.167
29 Ni 0.667 0.333 0.333
30 Ni 0.667 0.834 0.750
31 Ni 0.833 0.167 0.085
32 Ni 0.833 0.167 0.415
33 Ni 0.833 0.666 0.085
34 Ni 0.833 0.666 0.415
35 Ni 0.834 0.166 0.250
36 Ni 0.834 0.667 0.250

Results
formation enthalpy at 0 K	-325	meV per atom
spin magnetization	0.0	μB/f.u.
D(E_F)	1.24	states/eV/atom
space group	P6_3/mmc


No. 2
CaTl2Se | SCAN | PBEsol geometry

a = 5.487 Å, b = 5.487 Å, c = 5.702 Å
α = 109.28°, β = 109.28°, γ = 43.20°
Element x y z (fractional)
1 Ca 0.000 0.000 0.000
2 Tl 0.202 0.202 0.616
3 Tl 0.440 0.440 0.422
4 Se 0.713 0.713 0.016

Results
spin magnetization	0.0	μB/f.u.
D(E_F)	0.23	states/eV/atom
space group	Cm
raw formation energy	-0.73	eV/atom


No. 3
LaRhW | SCAN | PBEsol geometry

a = 2.916 Å, b = 2.916 Å, c = 7.587 Å
α = 90.00°, β = 90.00°, γ = 120.00°
Element x y z (fractional)
1 La 0.000 0.000 0.000
2 Rh 0.333 0.667 0.641
3 W 0.667 0.333 0.378

Results
formation enthalpy at 0 K	512	meV per atom
spin magnetization	0.0	μB/f.u.
D(E_F)	1.05	states/eV/atom
space group	P3m1
ΔE to the lowest computed polymorph	0.0000	eV per atom


No. 4
Y2TlO2 | SCAN | PBEsol geometry

a = 7.500 Å, b = 7.500 Å, c = 7.500 Å
α = 150.73°, β = 150.73°, γ = 41.87°
Element x y z (fractional)
1 Y 0.171 0.171 0.000
2 Y 0.829 0.829 0.000
3 Tl 0.500 0.500 0.000
4 O 0.250 0.750 0.500
5 O 0.750 0.250 0.500

Results
spin magnetization	0.0	μB/f.u.
D(E_F)	0.57	states/eV/atom
space group	I4/mmm
raw formation energy	-2.75	eV/atom


No. 5
Na3CuBPO7 | SCAN | PBEsol geometry

a = 4.950 Å, b = 7.367 Å, c = 8.586 Å
α = 90.00°, β = 92.43°, γ = 90.00°
Element x y z (fractional)
1 Na 0.220 0.250 0.083
2 Na 0.262 0.511 0.726
3 Na 0.262 0.989 0.726
4 Na 0.738 0.011 0.274
5 Na 0.738 0.489 0.274
6 Na 0.780 0.750 0.917
7 Cu 0.212 0.750 0.344
8 Cu 0.788 0.250 0.656
9 B 0.277 0.750 0.075
10 B 0.723 0.250 0.925
11 P 0.278 0.250 0.414
12 P 0.722 0.750 0.586
13 O 0.031 0.750 0.149
14 O 0.129 0.250 0.569
15 O 0.219 0.080 0.315
16 O 0.219 0.420 0.315
17 O 0.307 0.750 0.922
18 O 0.410 0.750 0.536
19 O 0.477 0.750 0.195
20 O 0.523 0.250 0.805
21 O 0.590 0.250 0.464
22 O 0.693 0.250 0.078
23 O 0.781 0.580 0.685
24 O 0.781 0.920 0.685
25 O 0.871 0.750 0.431
26 O 0.969 0.250 0.851

Results
spin magnetization	0.0	μB/f.u.
space group	P2_1/m
raw formation energy	-2.08	eV/atom


No. 6
WBr | SCAN | PBEsol geometry

a = 4.341 Å, b = 4.341 Å, c = 4.913 Å
α = 90.00°, β = 90.00°, γ = 120.00°
Element x y z (fractional)
1 W 0.000 0.000 0.000
2 W 0.000 0.000 0.500
3 Br 0.333 0.667 0.250
4 Br 0.667 0.333 0.750

Results
spin magnetization	0.0	μB/f.u.
D(E_F)	1.21	states/eV/atom
space group	P6_3/mmc
raw formation energy	1.76	eV/atom
ΔE to the lowest computed polymorph	1.5993	eV per atom


No. 7
Na5Nd4Ge4O16F | SCAN | PBEsol geometry

a = 8.956 Å, b = 8.956 Å, c = 8.956 Å
α = 95.75°, β = 95.75°, γ = 143.10°
Element x y z (fractional)
1 Na 0.000 0.000 0.000
2 Na 0.128 0.611 0.692
3 Na 0.389 0.081 0.517
4 Na 0.564 0.872 0.483
5 Na 0.919 0.436 0.308
6 Nd 0.345 0.412 0.704
7 Nd 0.359 0.655 0.067
8 Nd 0.588 0.292 0.933
9 Nd 0.708 0.641 0.296
10 Ge 0.094 0.238 0.352
11 Ge 0.258 0.906 0.145
12 Ge 0.762 0.114 0.855
13 Ge 0.886 0.742 0.648
14 O 0.060 0.310 0.820
15 O 0.148 0.432 0.501
16 O 0.159 0.123 0.447
17 O 0.179 0.053 0.780
18 O 0.273 0.398 0.220
19 O 0.288 0.841 0.964
20 O 0.353 0.852 0.284
21 O 0.490 0.241 0.180
22 O 0.568 0.070 0.716
23 O 0.602 0.821 0.874
24 O 0.676 0.712 0.553
25 O 0.690 0.510 0.751
26 O 0.759 0.940 0.249
27 O 0.877 0.324 0.036
28 O 0.930 0.647 0.499
29 O 0.947 0.727 0.126
30 F 0.500 0.500 0.000

Results
spin magnetization	0.2	μB/f.u.
D(E_F)	0.00	states/eV/atom
space group	I-4
raw formation energy	-2.64	eV/atom


No. 8
Tl2CuSi | SCAN | PBEsol geometry

a = 3.989 Å, b = 4.158 Å, c = 4.917 Å
α = 90.00°, β = 90.00°, γ = 90.00°
Element x y z (fractional)
1 Tl 0.000 0.000 0.000
2 Tl 0.000 0.500 0.500
3 Cu 0.500 0.000 0.500
4 Si 0.500 0.500 0.000

Results
spin magnetization	0.0	μB/f.u.
D(E_F)	0.40	states/eV/atom
space group	Pmmm
raw formation energy	0.63	eV/atom
ΔE to the lowest computed polymorph	0.3302	eV per atom


No. 9
Al2CdFe | SCAN | PBEsol geometry

a = 5.106 Å, b = 5.106 Å, c = 5.106 Å
α = 145.19°, β = 127.04°, γ = 64.95°
Element x y z (fractional)
1 Al 0.220 0.220 0.000
2 Al 0.780 0.780 0.000
3 Cd 0.500 0.000 0.500
4 Fe 0.000 0.500 0.500

Results
formation enthalpy at 0 K	59	meV per atom
spin magnetization	1.7	μB/f.u.
D(E_F)	0.25	states/eV/atom
space group	Immm


No. 10
LaSc2Ir | SCAN | PBEsol geometry

a = 5.921 Å, b = 5.921 Å, c = 5.921 Å
α = 145.23°, β = 130.54°, γ = 61.87°
Element x y z (fractional)
1 La 0.000 0.000 0.000
2 Sc 0.289 0.789 0.500
3 Sc 0.592 0.592 0.000
4 Ir 0.779 0.279 0.500

Results
formation enthalpy at 0 K	-511	meV per atom
spin magnetization	0.0	μB/f.u.
D(E_F)	0.75	states/eV/atom
space group	Imm2
ΔE to the lowest computed polymorph	0.0000	eV per atom


No. 11
CsRbRh2Au | SCAN | PBEsol geometry

a = 5.016 Å, b = 5.016 Å, c = 5.882 Å
α = 90.00°, β = 90.00°, γ = 90.00°
Element x y z (fractional)
1 Cs 0.000 0.000 0.000
2 Rb 0.500 0.500 0.000
3 Rh 0.000 0.500 0.500
4 Rh 0.500 0.000 0.500
5 Au 0.500 0.500 0.500

Results
formation enthalpy at 0 K	745	meV per atom
spin magnetization	1.9	μB/f.u.
D(E_F)	0.76	states/eV/atom
space group	P4/mmm


No. 12
LiPtW2 | SCAN | PBEsol geometry

a = 4.988 Å, b = 4.988 Å, c = 4.988 Å
α = 136.80°, β = 136.80°, γ = 62.74°
Element x y z (fractional)
1 Li 0.000 0.000 0.000
2 Pt 0.500 0.500 0.000
3 W 0.250 0.750 0.500
4 W 0.750 0.250 0.500

Results
formation enthalpy at 0 K	28	meV per atom
spin magnetization	0.0	μB/f.u.
D(E_F)	0.67	states/eV/atom
space group	I4/mmm
ΔE to the lowest computed polymorph	0.0017	eV per atom


Question: spin magnetization of number 12 (LiPtW2)?
Answer: 0.0 μB/f.u.